1.
A plane-wave DFT calculation with GGA-PBE was carried out for an optimized crystal structure of TlAg2Te.

ΔE_f (raw)   0.19 eV per atom
Energy relative to the lowest polymorph listed for this composition   0.1583 eV/atom

```
TlAg2Te
1.0
2.068 -2.700 0.000
2.068 2.700 0.000
0.000 0.000 8.683
Tl Ag Te
1 2 1
Direct
0.000 0.000 0.000
0.500 0.500 0.252
0.500 0.500 0.748
0.000 0.000 0.500
```

---

2.
A plane-wave DFT calculation with GGA-PBE was carried out for an optimized crystal structure of TlAg4Te3.

ΔE_f (raw)   -0.10 eV per atom

```
TlAg4Te3
1.0
4.357 0.000 0.000
0.000 4.357 0.000
0.000 0.000 11.601
Tl Ag Te
1 4 3
Direct
0.000 0.000 0.000
0.000 0.500 0.329
0.000 0.500 0.671
0.500 0.000 0.329
0.500 0.000 0.671
0.000 0.000 0.500
0.500 0.500 0.171
0.500 0.500 0.829
```

---

3.
A plane-wave DFT calculation with GGA-PBE was carried out for an optimized crystal structure of Tl5Ag2Te4.

ΔE_f (raw)   -0.18 eV per atom

```
Tl5Ag2Te4
1.0
11.290 -2.185 0.000
11.290 2.185 0.000
-2.769 0.000 7.835
Tl Ag Te
5 2 4
Direct
0.000 0.000 0.000
0.338 0.338 0.595
0.342 0.342 0.059
0.658 0.658 0.941
0.662 0.662 0.405
0.065 0.065 0.588
0.935 0.935 0.412
0.195 0.195 0.708
0.498 0.498 0.710
0.502 0.502 0.290
0.805 0.805 0.292
```

---

4.
A plane-wave DFT calculation with GGA-PBE was carried out for an optimized crystal structure of Tl3Ag4Te4.

ΔE_f (raw)   -0.14 eV per atom
Energy relative to the lowest polymorph listed for this composition   0.0051 eV/atom

```
Tl3Ag4Te4
1.0
-2.371 2.380 14.873
2.371 -2.380 14.873
2.371 2.380 -14.873
Tl Ag Te
3 4 4
Direct
0.000 0.000 0.000
0.354 0.854 0.500
0.646 0.146 0.500
0.102 0.602 0.500
0.252 0.252 0.000
0.748 0.748 0.000
0.898 0.398 0.500
0.195 0.695 0.500
0.443 0.443 0.000
0.557 0.557 0.000
0.805 0.305 0.500
```

---

5.
A plane-wave DFT calculation with GGA-PBE was carried out for an optimized crystal structure of Tl2AgTe.

ΔE_f (raw)   -0.07 eV per atom
Energy relative to the lowest polymorph listed for this composition   0.0000 eV/atom

```
Tl2AgTe
1.0
3.949 -2.308 0.000
3.949 2.308 0.000
-2.716 0.000 6.832
Tl Ag Te
2 1 1
Direct
0.000 0.000 0.000
0.226 0.226 0.673
0.487 0.487 0.458
0.765 0.765 0.293
```

---

6.
A plane-wave DFT calculation with GGA-PBE was carried out for an optimized crystal structure of TlAg2Te.

ΔE_f (raw)   0.11 eV per atom
Energy relative to the lowest polymorph listed for this composition   0.0818 eV/atom

```
TlAg2Te
1.0
3.174 0.000 0.000
0.000 3.366 0.000
0.000 0.000 9.240
Tl Ag Te
1 2 1
Direct
0.000 0.000 0.000
0.000 0.000 0.438
0.500 0.500 0.249
0.500 0.500 0.673
```

---

Q: ΔE_f (raw) of number 5 (Tl2AgTe)?
A: -0.07 eV per atom